(1)
The following is a PBE-GGA calculation of GdSc2In after structural relaxation, from Alexandria via LeMat-Bulk. Values from VASP.

Results
ΔH_f (0 K) = -10.5 kJ/mol of atoms
excess energy over the best structure of this formula in the dataset = 159.1 meV/atom
mass density = 5.826 Mg/m³
VASP energy = -29.9 eV per cell

Structure (Quantum ESPRESSO input):
```
&SYSTEM
  ibrav = 0, nat = 4, ntyp = 3
/
ATOMIC_SPECIES
Gd 157.25 Gd.upf
Sc 44.96 Sc.upf
In 114.82 In.upf
CELL_PARAMETERS angstrom
1.678 0.969 10.572
-1.678 0.969 10.572
0.000 -1.938 10.572
ATOMIC_POSITIONS crystal
Gd 0.000 0.000 0.000
Sc 0.245 0.245 0.245
Sc 0.755 0.755 0.755
In 0.500 0.500 0.500
```

---

(2)
The following is a PBE-GGA calculation of CsRb2Ag after structural relaxation, from Alexandria via LeMat-Bulk. Values from VASP.

Results
ΔH_f (0 K) = 4.4 kJ/mol of atoms
excess energy over the best structure of this formula in the dataset = 0.0 meV/atom
mass density = 2.543 Mg/m³
VASP energy = -21.8 eV per cell

Structure (Quantum ESPRESSO input):
```
&SYSTEM
  ibrav = 0, nat = 16, ntyp = 3
/
ATOMIC_SPECIES
Cs 132.91 Cs.upf
Rb 85.47 Rb.upf
Ag 107.87 Ag.upf
CELL_PARAMETERS angstrom
12.151 0.000 0.000
0.000 8.962 0.000
-4.960 0.000 9.873
ATOMIC_POSITIONS crystal
Cs 0.000 0.001 0.192
Cs 0.000 0.499 0.692
Cs 0.000 0.501 0.308
Cs 0.000 0.999 0.808
Rb 0.290 0.679 0.145
Rb 0.290 0.821 0.645
Rb 0.352 0.249 0.928
Rb 0.352 0.251 0.428
Rb 0.648 0.749 0.572
Rb 0.648 0.751 0.072
Rb 0.710 0.179 0.355
Rb 0.710 0.321 0.855
Ag 0.071 0.138 0.535
Ag 0.071 0.362 0.035
Ag 0.929 0.638 0.965
Ag 0.929 0.862 0.465
```

---

(3)
The following is a PBE-GGA calculation of Pu12Mn2Ru5 after structural relaxation, from Alexandria via LeMat-Bulk. Values from VASP.

Results
ΔH_f (0 K) = 21.8 kJ/mol of atoms
mass density = 18.962 Mg/m³
VASP energy = -232.4 eV per cell

Structure (Quantum ESPRESSO input):
```
&SYSTEM
  ibrav = 0, nat = 19, ntyp = 3
/
ATOMIC_SPECIES
Pu 244.00 Pu.upf
Mn 54.94 Mn.upf
Ru 101.07 Ru.upf
CELL_PARAMETERS angstrom
6.007 -4.847 0.000
6.007 4.847 0.000
-1.001 0.000 5.328
ATOMIC_POSITIONS crystal
Pu 0.065 0.065 0.349
Pu 0.081 0.525 0.845
Pu 0.126 0.651 0.475
Pu 0.349 0.874 0.525
Pu 0.397 0.397 0.988
Pu 0.475 0.919 0.155
Pu 0.525 0.081 0.845
Pu 0.603 0.603 0.012
Pu 0.651 0.126 0.475
Pu 0.874 0.349 0.525
Pu 0.919 0.475 0.155
Pu 0.935 0.935 0.651
Mn 0.233 0.767 0.000
Mn 0.767 0.233 0.000
Ru 0.148 0.148 0.918
Ru 0.272 0.272 0.449
Ru 0.500 0.500 0.500
Ru 0.728 0.728 0.551
Ru 0.852 0.852 0.082
```